Hf2Pb3W4N3: optimized geometry, PBE.

CIF file:
```
data_Hf2Pb3W4N3
_chemical_formula_sum 'Hf8 Pb12 W16 N12'
_symmetry_space_group_name_H-M 'C 1 2/c 1'
_symmetry_Int_Tables_number 15
_cell_length_a 9.878
_cell_length_b 5.834
_cell_length_c 14.203
_cell_angle_alpha 90.00
_cell_angle_beta 101.17
_cell_angle_gamma 90.00
loop_
_symmetry_equiv_pos_as_xyz
'x,y,z'
'-x,-y,-z'
'-x,y,-z+1/2'
'x,-y,z+1/2'
'x+1/2,y+1/2,z'
'-x+1/2,-y+1/2,-z'
'-x+1/2,y+1/2,-z+1/2'
'x+1/2,-y+1/2,z+1/2'
loop_
_atom_site_label
_atom_site_type_symbol
_atom_site_fract_x
_atom_site_fract_y
_atom_site_fract_z
Hf1 Hf 0.073 0.087 0.420
Pb1 Pb 0.000 0.423 0.250
Pb2 Pb 0.170 0.097 0.739
W1 W 0.116 0.457 0.567
W2 W 0.209 0.366 0.917
N1 N 0.084 0.221 0.006
N2 N 0.250 0.250 0.500
```

Summary:
DFT total energy ... -429.06 eV/cell
M_tot ... 0.0 μB/cell



Y2Hf4Pb3N3: optimized geometry, PBE.

CIF file:
```
data_Y2Hf4Pb3N3
_chemical_formula_sum 'Y8 Hf16 Pb12 N12'
_symmetry_space_group_name_H-M 'C 1 2/c 1'
_symmetry_Int_Tables_number 15
_cell_length_a 10.216
_cell_length_b 5.892
_cell_length_c 15.225
_cell_angle_alpha 90.00
_cell_angle_beta 103.08
_cell_angle_gamma 90.00
loop_
_symmetry_equiv_pos_as_xyz
'x,y,z'
'-x,-y,-z'
'-x,y,-z+1/2'
'x,-y,z+1/2'
'x+1/2,y+1/2,z'
'-x+1/2,-y+1/2,-z'
'-x+1/2,y+1/2,-z+1/2'
'x+1/2,-y+1/2,z+1/2'
loop_
_atom_site_label
_atom_site_type_symbol
_atom_site_fract_x
_atom_site_fract_y
_atom_site_fract_z
Y1 Y 0.049 0.080 0.408
Hf1 Hf 0.110 0.409 0.578
Hf2 Hf 0.227 0.421 0.922
Pb1 Pb 0.000 0.443 0.250
Pb2 Pb 0.180 0.095 0.752
N1 N 0.088 0.264 0.000
N2 N 0.250 0.250 0.500
```

Summary:
DFT total energy ... -400.88 eV/cell
M_tot ... 0.0 μB/cell



Hf4ZnPbN2: optimized geometry, PBE.

CIF file:
```
data_Hf4ZnPbN2
_chemical_formula_sum 'Hf4 Zn1 Pb1 N2'
_symmetry_space_group_name_H-M 'P -6 m 2'
_symmetry_Int_Tables_number 187
_symmetry_space_group_name_Hall 'P -6 2'
_cell_length_a 3.2594
_cell_length_b 3.2594
_cell_length_c 14.3198
_cell_angle_alpha 90.00
_cell_angle_beta 90.00
_cell_angle_gamma 120.00
loop_
_atom_site_label
_atom_site_type_symbol
_atom_site_fract_x
_atom_site_fract_y
_atom_site_fract_z
Hf1 Hf 0.0000 0.0000 0.1545
Hf2 Hf 0.3333 0.6667 0.3265
Zn1 Zn 0.3333 0.6667 0.0000
Pb1 Pb 0.0000 0.0000 0.5000
N1 N 0.6667 0.3333 0.2383
```

Summary:
DFT total energy ... -68.81 eV/cell
M_tot ... 0.0 μB/cell



Hf4Zr2Pb3N3: optimized geometry, PBE.

CIF file:
```
data_Hf4Zr2Pb3N3
_chemical_formula_sum 'Hf16 Zr8 Pb12 N12'
_symmetry_space_group_name_H-M 'C 1 2/c 1'
_symmetry_Int_Tables_number 15
_cell_length_a 9.952
_cell_length_b 5.745
_cell_length_c 15.176
_cell_angle_alpha 90.00
_cell_angle_beta 102.63
_cell_angle_gamma 90.00
loop_
_symmetry_equiv_pos_as_xyz
'x,y,z'
'-x,-y,-z'
'-x,y,-z+1/2'
'x,-y,z+1/2'
'x+1/2,y+1/2,z'
'-x+1/2,-y+1/2,-z'
'-x+1/2,y+1/2,-z+1/2'
'x+1/2,-y+1/2,z+1/2'
loop_
_atom_site_label
_atom_site_type_symbol
_atom_site_fract_x
_atom_site_fract_y
_atom_site_fract_z
Hf1 Hf 0.110 0.089 0.082
Hf2 Hf 0.225 0.081 0.418
Zr1 Zr 0.052 0.419 0.916
Pb1 Pb 0.000 0.079 0.750
Pb2 Pb 0.168 0.417 0.251
N1 N 0.088 0.238 0.500
N2 N 0.250 0.250 0.000
```

Summary:
DFT total energy ... -415.22 eV/cell
M_tot ... 0.0 μB/cell